The following is a PBE calculation of a relaxed structure of CuOs2Se, from the Alexandria database.

Summary:
Space group   No. 10
Calculated density   14.1 g/cm3
Energy relative to the elements, uncorrected   2.95 eV/f.u.

Cell lengths 4.3068, 2.7657, 5.3230 Å; angles 103.25, 90.00, 90.00 degrees
Atoms (fractional coordinates):
1 Cu 0.5000 0.7500 0.7500
2 Os 0.0000 0.1161 0.9644
3 Os 0.0000 0.3839 0.5356
4 Se 0.5000 0.2500 0.2500